{"formula": "P2HSe", "functional": "PBE", "state": "relaxed", "lattice_angstrom": [[3.176, 0.000, 0.000], [1.560, 4.182, 0.000], [1.425, 0.969, 6.158]], "species": ["P", "P", "H", "Se"], "frac_coords": [[0.000, 0.000, 0.000], [0.324, 0.165, 0.211], [0.916, 0.304, 0.855], [0.420, 0.732, 0.474]], "energy_ev_per_atom": -4.32, "de_polymorph_kj_per_mol_atoms": 9.1, "space_group": "P1 (1)"}